1.
# La4HoTl2

A geometry-optimized La4HoTl2 structure (PBE, the Alexandria database).

Results
Relative energy among the computed polymorphs in meV/atom: 53
Formation enthalpy at 0 K in eV per atom: 0.035

abc: 6.3742 6.3741 8.7069
angles: 111.27 132.98 64.74
With the nearest neighbours (Å) after each atom.
Sites, in units of the cell vectors:
Tl1 0.7016 0.5631 0.2648  2 Tl 3.23-3.38, 2 La 3.50, 1 Ho 3.61
Tl2 0.2984 0.4369 0.7352  2 Tl 3.23-3.38, 2 La 3.50, 1 Ho 3.61
Ho1 0.0000 0.0000 0.0000  4 La 3.19
La1 0.6960 0.1960 0.5000  6 La 3.47-3.85, 4 Tl 3.65-3.80, 2 Ho 3.83
La2 0.3040 0.8040 0.5000  6 La 3.47-3.85, 4 Tl 3.65-3.80, 2 Ho 3.83
La3 0.5000 0.0000 0.0000  2 Ho 3.19, 4 La 3.41-3.47, 2 Tl 3.50
La4 0.0000 0.5000 0.0000  2 Ho 3.19, 4 La 3.41-3.47, 2 Tl 3.50

2.
# AcDy2Tm

A geometry-optimized AcDy2Tm structure (PBE, the Alexandria database).

Results
Relative energy among the computed polymorphs in meV/atom: 12
Formation enthalpy at 0 K in eV per atom: 0.065

abc: 5.1953 5.1226 5.1226
angles: 90.00 90.00 90.00
With the nearest neighbours (Å) after each atom.
Sites, in units of the cell vectors:
Ac1 0.5000 0.0000 0.0000  4 Tm 3.62, 8 Dy 3.65
Tm1 0.5000 0.5000 0.5000  4 Ac 3.62, 8 Dy 3.65
Dy1 0.0000 0.0000 0.5000  4 Dy 3.62, 4 Ac 3.65, 4 Tm 3.65
Dy2 0.0000 0.5000 0.0000  4 Dy 3.62, 4 Ac 3.65, 4 Tm 3.65

3.
# Mn6GaC3

A geometry-optimized Mn6GaC3 structure (PBE, the Alexandria database).

Results
Formation enthalpy at 0 K in eV per atom: 0.037

abc: 5.1450 5.1451 5.4655
angles: 90.00 118.08 120.00
With the nearest neighbours (Å) after each atom.
Sites, in units of the cell vectors:
Mn1 0.3494 0.4353 0.7238  3 C 1.97-2.01
Mn2 0.1588 0.7399 0.2279  3 C 1.97-1.98
Mn3 0.8089 0.0691 0.2279  3 C 1.97-1.98
Mn4 0.2885 0.9141 0.7237  3 C 1.97-2.01
Mn5 0.8096 0.3744 0.7237  3 C 1.97-2.01
Mn6 0.4880 0.4190 0.2279  3 C 1.97-1.98
Ga1 0.8000 0.9000 0.6999  3 Mn 2.42
C1 0.6814 0.3407 0.0221  6 Mn 1.97-2.01
C2 0.3315 0.6658 0.9973  6 Mn 1.97-1.98
C3 0.2839 0.1419 0.4258  6 Mn 1.97-2.00

4.
# LiZnSi2

A geometry-optimized LiZnSi2 structure (PBE, the Alexandria database).

Results
ΔE_f (raw) in eV per atom: 0.03

abc: 4.5707 2.6301 5.0242
angles: 90.01 90.00 90.00
With the nearest neighbours (Å) after each atom.
Sites, in units of the cell vectors:
Li1 0.5000 0.7498 0.7435  2 Li 2.63, 4 Si 2.82-2.85, 4 Zn 2.88
Si1 0.0000 0.2503 0.0054  2 Zn 2.48-2.54, 4 Si 2.57-2.63
Si2 0.5000 0.2497 0.2394  4 Si 2.57-2.63, 2 Zn 2.66, 4 Li 2.82-2.85
Zn1 0.0000 0.2503 0.5117  4 Si 2.48-2.66, 2 Zn 2.63

5.
# Sm3P3Ir2

A geometry-optimized Sm3P3Ir2 structure (PBE, the Alexandria database).

Results
Formation enthalpy at 0 K in eV per atom: -1.088

abc: 4.2269 5.7157 14.1461
angles: 90.00 90.00 111.70
With the nearest neighbours (Å) after each atom.
Sites, in units of the cell vectors:
Sm1 0.9191 0.8383 0.3930  7 P 3.04-3.32, 4 Ir 3.07-3.24
Sm2 0.0809 0.1617 0.8930  7 P 3.04-3.32, 4 Ir 3.07-3.24
Sm3 0.9191 0.8383 0.1070  7 P 3.04-3.32, 4 Ir 3.07-3.24
Sm4 0.0809 0.1617 0.6070  7 P 3.04-3.32, 4 Ir 3.07-3.24
Sm5 0.6341 0.2682 0.2500  5 P 2.97-3.13, 4 Ir 3.08
Sm6 0.3659 0.7318 0.7500  5 P 2.97-3.13, 4 Ir 3.08
P1 0.6429 0.2858 0.4596  3 Ir 2.39-2.56
P2 0.3571 0.7142 0.9596  3 Ir 2.39-2.56
P3 0.6429 0.2858 0.0404  3 Ir 2.39-2.56
P4 0.3571 0.7142 0.5404  3 Ir 2.39-2.56
P5 0.3396 0.6792 0.2500  2 Ir 2.52
P6 0.6604 0.3208 0.7500  2 Ir 2.52
Ir1 0.7919 0.5839 0.8986  4 P 2.39-2.56
Ir2 0.2081 0.4161 0.3986  4 P 2.39-2.56
Ir3 0.7919 0.5839 0.6014  4 P 2.39-2.56
Ir4 0.2081 0.4161 0.1014  4 P 2.39-2.56

6.
# Cr2Fe2Ni15

A geometry-optimized Cr2Fe2Ni15 structure (PBE, the Alexandria database).

Results
Formation enthalpy at 0 K in eV per atom: 0.152

abc: 6.1666 6.1666 6.1666
angles: 81.79 81.79 81.79
With the nearest neighbours (Å) after each atom.
Sites, in units of the cell vectors:
Cr1 0.6603 0.6603 0.6603  18 Ni 2.80-3.13, 1 Fe 2.96
Cr2 0.3397 0.3397 0.3397  18 Ni 2.80-3.13, 1 Fe 2.96
Fe1 0.9043 0.9043 0.9043  1 Fe 2.32, 6 Ni 2.48-2.56
Fe2 0.0957 0.0957 0.0957  1 Fe 2.32, 6 Ni 2.48-2.56
Ni1 0.0000 0.5000 0.0000  8 Ni 2.35-2.38, 2 Fe 2.48
Ni2 0.0000 0.0000 0.5000  8 Ni 2.35-2.38, 2 Fe 2.48
Ni3 0.5000 0.0000 0.0000  8 Ni 2.35-2.38, 2 Fe 2.48
Ni4 0.3077 0.0000 0.6923  8 Ni 2.38-2.50
Ni5 0.6923 0.3077 0.0000  8 Ni 2.38-2.50
Ni6 0.0000 0.6923 0.3077  8 Ni 2.38-2.50
Ni7 0.3077 0.6923 0.0000  8 Ni 2.38-2.50
Ni8 0.0000 0.3077 0.6923  8 Ni 2.38-2.50
Ni9 0.6923 0.0000 0.3077  8 Ni 2.38-2.50
Ni10 0.3469 0.8424 0.3469  8 Ni 2.33-2.50, 1 Fe 2.56
Ni11 0.3469 0.3469 0.8424  8 Ni 2.33-2.50, 1 Fe 2.56
Ni12 0.8424 0.3469 0.3469  8 Ni 2.33-2.50, 1 Fe 2.56
Ni13 0.6531 0.1576 0.6531  8 Ni 2.33-2.50, 1 Fe 2.56
Ni14 0.6531 0.6531 0.1576  8 Ni 2.33-2.50, 1 Fe 2.56
Ni15 0.1576 0.6531 0.6531  8 Ni 2.33-2.50, 1 Fe 2.56